# 1
VASP calculation (PBEsol) on crystalline MgW3 at its relaxed geometry.

a = 5.4960 Å, b = 8.8158 Å, c = 2.6621 Å
α = 90.00°, β = 90.00°, γ = 90.00°
Closest atoms and distances in Å follow each position.
Sites, in units of the cell vectors:
Mg: 0.0000 0.0000 0.0000  2 Mg 2.66, 10 W 2.75-2.92
Mg: 0.5000 0.5000 0.0000  2 Mg 2.66, 10 W 2.75-2.92
W: 0.0000 0.5000 0.0000  10 W 2.66-2.92, 2 Mg 2.75
W: 0.2500 0.2500 0.5000  8 W 2.66-2.92, 4 Mg 2.92
W: 0.2500 0.7500 0.5000  8 W 2.66-2.92, 4 Mg 2.92
W: 0.5000 0.0000 0.0000  10 W 2.66-2.92, 2 Mg 2.75
W: 0.7500 0.2500 0.5000  8 W 2.66-2.92, 4 Mg 2.92
W: 0.7500 0.7500 0.5000  8 W 2.66-2.92, 4 Mg 2.92

Values from the calculation:
DOS at the Fermi energy = 4.67 states/eV/cell
energy of formation = 0.51 eV/atom
crystal system = orthorhombic
mass density = 14.8 Mg/m³
magnetic moment = 0.00 μB/f.u.

***

# 2
VASP calculation (PBEsol) on crystalline MgW4 at its relaxed geometry.

a = 5.6721 Å, b = 5.6721 Å, c = 5.6721 Å
α = 90.00°, β = 90.00°, γ = 90.00°
Closest atoms and distances in Å follow each position.
Sites, in units of the cell vectors:
Mg: 0.0000 0.0000 0.0000  8 W 2.46
Mg: 0.5000 0.5000 0.5000  8 W 2.46
W: 0.2500 0.2500 0.2500  2 Mg 2.46
W: 0.2500 0.2500 0.7500  2 Mg 2.46
W: 0.2500 0.7500 0.2500  2 Mg 2.46
W: 0.2500 0.7500 0.7500  2 Mg 2.46
W: 0.7500 0.2500 0.2500  2 Mg 2.46
W: 0.7500 0.2500 0.7500  2 Mg 2.46
W: 0.7500 0.7500 0.2500  2 Mg 2.46
W: 0.7500 0.7500 0.7500  2 Mg 2.46

Values from the calculation:
DOS at the Fermi energy = 10.82 states/eV/cell
energy of formation = 2.22 eV/atom
crystal system = cubic
mass density = 13.8 Mg/m³
magnetic moment = 0.00 μB/f.u.
excess energy over the best structure of this formula in the dataset = 1.295 eV/atom

***

# 3
VASP calculation (PBEsol) on crystalline MgW at its relaxed geometry.

a = 6.4019 Å, b = 6.4019 Å, c = 6.4019 Å
α = 90.00°, β = 90.00°, γ = 90.00°
Closest atoms and distances in Å follow each position.
Sites, in units of the cell vectors:
Mg: 0.0000 0.0000 0.0000  4 W 2.77
Mg: 0.0000 0.5000 0.5000  4 W 2.77
Mg: 0.5000 0.0000 0.5000  4 W 2.77
Mg: 0.5000 0.5000 0.0000  4 W 2.77
W: 0.2500 0.2500 0.2500  4 Mg 2.77
W: 0.2500 0.7500 0.7500  4 Mg 2.77
W: 0.7500 0.2500 0.7500  4 Mg 2.77
W: 0.7500 0.7500 0.2500  4 Mg 2.77

Values from the calculation:
DOS at the Fermi energy = 4.29 states/eV/cell
energy of formation = 3.51 eV/atom
crystal system = cubic
mass density = 5.3 Mg/m³
magnetic moment = 4.12 μB/f.u.
excess energy over the best structure of this formula in the dataset = 3.123 eV/atom